Crystalline AgSnSe2 at its relaxed geometry, computed with PBE.

a b c (Å): 7.231 5.780 12.208
angles (deg): 90.00 90.00 90.00
Space group Pnma (No. 62)
Inequivalent atoms, fractional coordinates:
Ag 0.081 0.250 0.185 [4 per cell]
Sn 0.168 0.250 0.561 [4 per cell]
Se 0.000 0.000 0.000 [4 per cell]
Se 0.050 0.750 0.623 [4 per cell]

Values from the calculation:
Crystal system   orthorhombic
Formation energy from raw total energies   -0.09 eV per atom
Total magnetization   0.000 μB/atom



Crystalline MnSiOs2 at its relaxed geometry, computed with PBE.

a b c (Å): 2.972 2.972 5.989
angles (deg): 90.00 90.00 90.00
Space group P4/mmm (No. 123)
Inequivalent atoms, fractional coordinates:
Mn 0.000 0.000 0.000 [1 per cell]
Si 0.000 0.000 0.500 [1 per cell]
Os 0.500 0.500 0.263 [2 per cell]

Values from the calculation:
Crystal system   tetragonal
Formation energy from raw total energies   -0.17 eV per atom
Total magnetization   0.747 μB/atom



Crystalline MnVGeW at its relaxed geometry, computed with PBE.

a b c (Å): 6.024 6.024 6.024
angles (deg): 90.00 90.00 90.00
Space group F-43m (No. 216)
Inequivalent atoms, fractional coordinates:
Mn 0.000 0.000 0.000 [4 per cell]
V 0.000 0.000 0.500 [4 per cell]
Ge 0.250 0.250 0.250 [4 per cell]
W 0.250 0.250 0.750 [4 per cell]

Values from the calculation:
Crystal system   cubic
Formation enthalpy at 0 K   0.03 eV/atom
Total magnetization   0.504 μB/atom



Copy entry 3 word for word.
Crystalline MnVGeW at its relaxed geometry, computed with PBE.

a b c (Å): 6.024 6.024 6.024
angles (deg): 90.00 90.00 90.00
Space group F-43m (No. 216)
Inequivalent atoms, fractional coordinates:
Mn 0.000 0.000 0.000 [4 per cell]
V 0.000 0.000 0.500 [4 per cell]
Ge 0.250 0.250 0.250 [4 per cell]
W 0.250 0.250 0.750 [4 per cell]

Values from the calculation:
Crystal system   cubic
Formation enthalpy at 0 K   0.03 eV/atom
Total magnetization   0.504 μB/atom



What is the total magnetization in the first record? 0.000 μB/atom



The lowest total magnetization belongs to which entry? AgSnSe2



Number 1 is which compound? AgSnSe2